# 1
The following is a DFT calculation (PBE-GGA) of crystalline Ac5SmCd4 at its relaxed geometry.

a = 4.0399 Å, b = 4.0399 Å, c = 21.5425 Å
α = 90.00°, β = 90.00°, γ = 90.00°
Closest atoms and distances in Å follow each position.
Space group P4/mmm (No. 123)
One atom of each set of equivalent atoms:
Ac (0.0000, 0.0000, 0.0000) [1 per cell]  8 Cd 3.52
Ac (0.0000, 0.0000, 0.1913) [2 per cell]  8 Cd 3.53-3.55
Ac (0.0000, 0.0000, 0.3827) [2 per cell]  4 Cd 3.50, 4 Sm 3.81
Sm (0.5000, 0.5000, 0.5000) [1 per cell]  8 Ac 3.81, 4 Sm 4.04
Cd (0.5000, 0.5000, 0.0952) [2 per cell]  8 Ac 3.52-3.53
Cd (0.5000, 0.5000, 0.2890) [2 per cell]  8 Ac 3.50-3.55

# 2
The following is a DFT calculation (PBE-GGA) of crystalline Ac4Sm3Cd at its relaxed geometry.

a = 3.9243 Å, b = 3.9243 Å, c = 19.7695 Å
α = 90.00°, β = 90.00°, γ = 90.00°
Closest atoms and distances in Å follow each position.
Space group P4/mmm (No. 123)
One atom of each set of equivalent atoms:
Ac (0.0000, 0.0000, 0.1082) [2 per cell]  4 Cd 3.50, 4 Sm 3.83, 4 Ac 3.92
Ac (0.0000, 0.0000, 0.3705) [2 per cell]  8 Sm 3.77-3.78, 4 Ac 3.92
Sm (0.5000, 0.5000, 0.2417) [2 per cell]  8 Ac 3.77-3.83, 4 Sm 3.92
Sm (0.5000, 0.5000, 0.5000) [1 per cell]  8 Ac 3.78, 4 Sm 3.92
Cd (0.5000, 0.5000, 0.0000) [1 per cell]  8 Ac 3.50, 4 Cd 3.92

# 3
The following is a DFT calculation (PBE-GGA) of crystalline AcSm2Cd at its relaxed geometry.

a = 3.7845 Å, b = 3.7845 Å, c = 33.4704 Å
α = 90.00°, β = 90.00°, γ = 120.00°
Closest atoms and distances in Å follow each position.
Space group R3m (No. 160, hexagonal axes)
One atom of each set of equivalent atoms:
Ac (0.0000, 0.0000, 0.0000) [3 per cell]  6 Ac 3.78, 6 Sm 3.82
Sm (0.0000, 0.0000, 0.5730) [3 per cell]  3 Cd 3.28
Sm (0.0000, 0.0000, 0.7604) [3 per cell]  3 Cd 3.27
Cd (0.0000, 0.0000, 0.1664) [3 per cell]  6 Sm 3.27-3.28

Properties
Energy relative to the lowest polymorph listed for this composition: 0.112 eV per atom

# 4
The following is a DFT calculation (PBE-GGA) of crystalline AcSm2Cd at its relaxed geometry.

a = 5.0426 Å, b = 5.0426 Å, c = 5.1604 Å
α = 90.00°, β = 90.00°, γ = 90.00°
Closest atoms and distances in Å follow each position.
Space group P4/mmm (No. 123)
One atom of each set of equivalent atoms:
Ac (0.0000, 0.0000, 0.0000) [1 per cell]  4 Cd 3.57, 8 Sm 3.61
Sm (0.0000, 0.5000, 0.5000) [2 per cell]  4 Sm 3.57, 4 Cd 3.61, 4 Ac 3.61
Cd (0.5000, 0.5000, 0.0000) [1 per cell]  4 Ac 3.57, 8 Sm 3.61

Properties
Energy relative to the lowest polymorph listed for this composition: 0.084 eV per atom

no.,DFT formation energy (eV per atom),total moment (μB/cell),V (A^3/atom)
1,-0.222,0.00,35.16
2,-0.041,0.00,38.06
3,-0.026,0.00,34.60
4,-0.054,0.00,32.80